VASP calculation (GGA-PBE) on a geometry-optimized Tb2DyNi structure.

Calculated values
As for the total magnetic moment: 0.00 μB/atom. The value obtained for the energy above the most stable polymorph in this dataset is 0 meV/atom.

```
data_Tb2DyNi
_symmetry_space_group_name_H-M 'P 1'
_symmetry_Int_Tables_number 1
_cell_length_a 6.320
_cell_length_b 6.860
_cell_length_c 9.629
_cell_angle_alpha 90.00
_cell_angle_beta 90.00
_cell_angle_gamma 90.00
loop_
_symmetry_equiv_pos_as_xyz
'x,y,z'
loop_
_atom_site_label
_atom_site_type_symbol
_atom_site_fract_x
_atom_site_fract_y
_atom_site_fract_z
_atom_site_occupancy
Dy1 Dy 0.141 0.966 0.750 1
Dy2 Dy 0.641 0.534 0.250 1
Dy3 Dy 0.359 0.466 0.750 1
Dy4 Dy 0.859 0.034 0.250 1
Tb1 Tb 0.677 0.821 0.934 1
Tb2 Tb 0.823 0.321 0.566 1
Tb3 Tb 0.323 0.179 0.434 1
Tb4 Tb 0.177 0.679 0.066 1
Tb5 Tb 0.323 0.179 0.066 1
Tb6 Tb 0.677 0.821 0.566 1
Tb7 Tb 0.823 0.321 0.934 1
Tb8 Tb 0.177 0.679 0.434 1
Ni1 Ni 0.056 0.390 0.250 1
Ni2 Ni 0.444 0.890 0.250 1
Ni3 Ni 0.944 0.610 0.750 1
Ni4 Ni 0.556 0.110 0.750 1
```